Computed, not measured: an optimized crystal structure of LiTmCdSe3 at the PBE level of DFT.

abc: 13.7222 4.0548 11.4573
angles: 90.00 90.00 90.00
Fractional coordinates of all 24 atoms:
Li 0.2113 0.2500 0.2011
Li 0.2887 0.7500 0.7011
Li 0.7113 0.2500 0.2989
Li 0.7887 0.7500 0.7989
Tm 0.0369 0.7500 0.8548
Tm 0.4631 0.2500 0.3548
Tm 0.5369 0.7500 0.6452
Tm 0.9631 0.2500 0.1452
Cd 0.0457 0.2500 0.6016
Cd 0.4543 0.7500 0.1016
Cd 0.5457 0.2500 0.8984
Cd 0.9543 0.7500 0.3984
Se 0.0807 0.2500 0.3682
Se 0.0993 0.7500 0.0852
Se 0.1698 0.2500 0.7757
Se 0.3302 0.7500 0.2757
Se 0.4007 0.2500 0.5852
Se 0.4193 0.7500 0.8682
Se 0.5807 0.2500 0.1318
Se 0.5993 0.7500 0.4148
Se 0.6698 0.2500 0.7243
Se 0.8302 0.7500 0.2243
Se 0.9007 0.2500 0.9148
Se 0.9193 0.7500 0.6318

Computed properties:
As for the excess energy over the best structure of this formula in the dataset: 0.000 eV/atom.

=====

Computed, not measured: an optimized crystal structure of TlPd2Pb3 at the PBE level of DFT.

abc: 6.9341 5.7076 5.7304
angles: 74.64 52.53 52.83
Fractional coordinates of all 6 atoms:
Tl 0.0000 0.0000 0.0000
Pd 0.0856 0.0856 0.4144
Pd 0.5856 0.5856 0.9144
Pb 0.1730 0.4981 0.5019
Pb 0.4981 0.1730 0.8270
Pb 0.6736 0.6736 0.3264

=====

Computed, not measured: an optimized crystal structure of LiHf3Tl at the PBE level of DFT.

abc: 5.5359 5.5359 8.4237
angles: 90.00 90.00 120.00
Fractional coordinates of all 10 atoms:
Li 0.0000 0.0000 0.1170
Li 0.0000 0.0000 0.8830
Hf 0.0000 0.3386 0.3598
Hf 0.0000 0.6614 0.6402
Hf 0.3386 0.0000 0.3598
Hf 0.3386 0.3386 0.6402
Hf 0.6614 0.0000 0.6402
Hf 0.6614 0.6614 0.3598
Tl 0.3333 0.6667 0.0000
Tl 0.6667 0.3333 0.0000

=====

no.,energy (eV for the cell shown)
1,-100.8
2,-25.0
3,-65.8